VASP calculation (PBE-GGA) on a geometry-optimized MgFe structure.

- Formation energy: 330 meV/atom
- Space-group type: P-6m2, No. 187

a b c (Å): 2.7992 2.7992 4.5354
angles (deg): 90.00 90.00 120.00
Fractional positions:
Fe  0.0000  0.0000  0.0000
Mg  0.3333  0.6667  0.5000

***

VASP calculation (PBE-GGA) on a geometry-optimized RbAcSeO5 structure.

- ΔE_f (raw): -1794 meV per atom
- Space-group type: C2/c, No. 15

a b c (Å): 6.7047 6.7047 8.5466
angles (deg): 104.86 104.86 105.53
Fractional positions:
Rb  0.3294  0.6706  0.2500
Rb  0.6706  0.3294  0.7500
Ac  0.0000  0.0000  0.5000
Ac  0.0000  0.0000  0.0000
Se  0.6807  0.3193  0.2500
Se  0.3193  0.6807  0.7500
O  0.0792  0.9208  0.2500
O  0.9208  0.0792  0.7500
O  0.8585  0.3152  0.1426
O  0.1415  0.6848  0.8574
O  0.6848  0.1415  0.3574
O  0.3152  0.8585  0.6426
O  0.7481  0.5724  0.3922
O  0.2519  0.4276  0.6078
O  0.4276  0.2519  0.1078
O  0.5724  0.7481  0.8922

***

VASP calculation (PBE-GGA) on a geometry-optimized Tb4TlPt2 structure.

- Formation energy: -732 meV/atom
- Space-group type: R-3m, No. 166

a b c (Å): 4.7481 4.7481 10.2230
angles (deg): 76.57 76.57 60.00
Fractional positions:
Tb  0.7017  0.7017  0.8950
Tb  0.8872  0.8872  0.3383
Tb  0.2983  0.2983  0.1050
Tb  0.1128  0.1128  0.6617
Tl  0.5000  0.5000  0.5000
Pt  0.6014  0.6014  0.1959
Pt  0.3986  0.3986  0.8041

***

VASP calculation (PBE-GGA) on a geometry-optimized NiTeBr2 structure.

- ΔE_f (raw): -32 meV per atom
- Offset from the most stable computed form: 0.217 eV/atom
- Space-group type: Cmm2, No. 35

a b c (Å): 4.0420 4.0420 8.9751
angles (deg): 90.00 90.00 126.54
Fractional positions:
Br  0.0000  0.0000  0.9551
Br  0.5000  0.5000  0.3410
Ni  0.0000  0.0000  0.5120
Te  0.5000  0.5000  0.6919